1.
Computed, not measured: an optimized crystal structure of Tb8DyAl2 at the GGA-PBE level of DFT.

It has space group C2/m (No. 12), with a = 8.7837 Å, b = 14.6909 Å, c = 5.6057 Å, α = 90.00°, β = 113.47° and γ = 90.00°. Symmetry generates all atoms from Tb at (0.0000, 0.2235, 0.0000), Tb at (0.0959, 0.5000, 0.7951), Tb at (0.2066, 0.1185, 0.6125), Dy at (0.0000, 0.0000, 0.0000) and Al at (0.0000, 0.3077, 0.5000).

As for the total magnetization: 0.00 μB/cell. The value obtained for the formation enthalpy at 0 K is 0.006 eV per atom.



2.
Computed, not measured: an optimized crystal structure of Tb14DyAl at the GGA-PBE level of DFT.

It has space group Amm2 (No. 38), with a = 11.0654 Å, b = 8.2055 Å, c = 10.9592 Å, α = 90.00°, β = 90.00° and γ = 90.00°. Symmetry generates all atoms from Tb at (0.0000, 0.0000, 0.0000), Tb at (0.0000, 0.0000, 0.4442), Tb at (0.0000, 0.2080, 0.7210), Tb at (0.2428, 0.0000, 0.2316), Tb at (0.2477, 0.0000, 0.7943), Tb at (0.2662, 0.2084, 0.5115), Tb at (0.5000, 0.2355, 0.7493), Dy at (0.5000, 0.0000, 0.0046) and Al at (0.5000, 0.0000, 0.4902).

As for the total magnetization: 0.01 μB/cell. The value obtained for the formation enthalpy at 0 K is 0.023 eV per atom.



3.
Computed, not measured: an optimized crystal structure of Tb2DyAl at the GGA-PBE level of DFT.

It has space group P4/mmm (No. 123), with a = 4.7723 Å, b = 4.7723 Å, c = 4.7731 Å, α = 90.00°, β = 90.00° and γ = 90.00°. Symmetry generates all atoms from Tb at (0.0000, 0.5000, 0.0000), Dy at (0.0000, 0.0000, 0.5000) and Al at (0.5000, 0.5000, 0.5000).

As for the total magnetization: 0.00 μB/cell. The value obtained for the formation enthalpy at 0 K is -0.186 eV per atom.



4.
Computed, not measured: an optimized crystal structure of TbDy2Al2 at the GGA-PBE level of DFT.

It has space group P2_1/m (No. 11), with a = 5.6025 Å, b = 3.6007 Å, c = 13.3969 Å, α = 90.00°, β = 96.11° and γ = 90.00°. Symmetry generates all atoms from Tb at (0.1831, 0.2500, 0.2353), Dy at (0.2406, 0.7500, 0.4616), Dy at (0.3466, 0.2500, 0.8880), Al at (0.1497, 0.7500, 0.0436) and Al at (0.2923, 0.2500, 0.6591).

As for the total magnetization: 0.00 μB/cell. The value obtained for the formation enthalpy at 0 K is -0.134 eV per atom.